Entry 1:
Ti4InBi: optimized geometry, PBE.

VASP energy	-38.9	eV per cell
offset from the most stable computed form	0.0	meV per atom
space-group type	C2/m, No. 12
energy of formation	-2.9	kcal/mol of atoms

Lattice parameters (Å, degrees): 4.9475 4.9583 5.2716 61.98 91.47 93.14
Closest atoms and distances in Å follow each position.
Sites, in units of the cell vectors:
Bi: 0.0014 0.5017 0.4954  10 Ti 2.95-3.05
Ti: 0.5014 0.6774 0.1445  4 Ti 2.84-2.85, 2 Bi 2.96, 3 In 2.97-3.02
Ti: 0.5013 0.3267 0.8463  4 Ti 2.84-2.85, 2 Bi 2.96, 3 In 2.97-3.02
Ti: 0.0012 0.8297 0.8398  4 Ti 2.85-2.87, 2 In 2.95, 3 Bi 2.95-3.05
Ti: 0.0013 0.1736 0.1511  4 Ti 2.85-2.87, 2 In 2.95, 3 Bi 2.95-3.05
In: 0.5012 0.0020 0.4954  10 Ti 2.95-3.02

---

Entry 2:
MgTe2OsS: optimized geometry, PBE.

VASP energy	-19.4	eV per cell
formation energy without anion corrections	0.7635	eV per atom
space-group type	P4/mmm, No. 123

Lattice parameters (Å, degrees): 5.4919 4.2680 5.4919 90.00 90.00 90.00
Closest atoms and distances in Å follow each position.
Sites, in units of the cell vectors:
Os: 0.0000 0.5000 0.0000  2 S 2.13
Te: 0.0000 0.0000 0.5000  2 S 2.75
Te: 0.5000 0.0000 0.0000  2 S 2.75
Mg: 0.5000 0.5000 0.5000  8 Te 3.48, 4 Os 3.88
S: 0.0000 0.0000 0.0000  2 Os 2.13

---

Entry 3:
Sm3SnRh3: optimized geometry, PBE.

VASP energy	-91.2	eV per cell
space-group type	Cmcm, No. 63
energy of formation	-17.8	kcal/mol of atoms

Lattice parameters (Å, degrees): 4.4417 5.7033 13.4684 90.00 90.00 112.92
Closest atoms and distances in Å follow each position.
Sites, in units of the cell vectors:
Sn: 0.5000 0.0000 0.5000  4 Rh 2.72
Sn: 0.5000 0.0000 0.0000  4 Rh 2.72
Rh: 0.9107 0.8215 0.5939  1 Rh 2.68, 2 Sn 2.72, 1 Sm 2.94
Rh: 0.0893 0.1785 0.4061  1 Rh 2.68, 2 Sn 2.72, 1 Sm 2.94
Rh: 0.2477 0.4954 0.2500  2 Rh 2.68, 5 Sm 2.84-3.00
Rh: 0.0893 0.1785 0.0939  1 Rh 2.68, 2 Sn 2.72, 1 Sm 2.94
Rh: 0.7523 0.5046 0.7500  2 Rh 2.68, 5 Sm 2.84-3.00
Rh: 0.9107 0.8215 0.9061  1 Rh 2.68, 2 Sn 2.72, 1 Sm 2.94
Sm: 0.2025 0.4050 0.8944  6 Rh 2.94-3.12
Sm: 0.7975 0.5950 0.3944  6 Rh 2.94-3.12
Sm: 0.4820 0.9640 0.7500  5 Rh 2.84-3.15
Sm: 0.2025 0.4050 0.6056  6 Rh 2.94-3.12
Sm: 0.7975 0.5950 0.1056  6 Rh 2.94-3.12
Sm: 0.5180 0.0360 0.2500  5 Rh 2.84-3.15

---

Entry 4:
CdN3F: optimized geometry, PBE.

VASP energy	-14.7	eV per cell
formation energy without anion corrections	2.6177	eV per atom
space-group type	Pm-3m, No. 221

Lattice parameters (Å, degrees): 3.7976 3.7976 3.7976 90.00 90.00 90.00
Closest atoms and distances in Å follow each position.
Sites, in units of the cell vectors:
N: 0.0000 0.5000 0.0000  2 F 1.90
N: 0.5000 0.0000 0.0000  2 F 1.90
N: 0.0000 0.0000 0.5000  2 F 1.90
Cd: 0.5000 0.5000 0.5000  12 N 2.69
F: 0.0000 0.0000 0.0000  6 N 1.90

---

Entry 5:
TlSn2Br6: optimized geometry, PBE.

VASP energy	-80.0	eV per cell
formation energy without anion corrections	-0.6936	eV per atom
offset from the most stable computed form	30.9	meV per atom
space-group type	P321, No. 150

Lattice parameters (Å, degrees): 6.7467 12.9466 12.9466 120.00 90.00 90.00
Closest atoms and distances in Å follow each position.
Sites, in units of the cell vectors:
Sn: 0.0000 0.6557 0.6557  6 Br 2.78-3.06
Sn: 0.0000 0.0000 0.3443  6 Br 2.78-3.06
Sn: 0.5000 0.6794 0.0000  6 Br 2.78-3.08
Sn: 0.5000 0.3206 0.3206  6 Br 2.78-3.08
Sn: 0.0000 0.3443 0.0000  6 Br 2.78-3.06
Sn: 0.5000 0.0000 0.6794  6 Br 2.78-3.08
Br: 0.2272 0.4172 0.2149  2 Sn 2.89-2.92
Br: 0.7568 0.5437 0.0899  2 Sn 2.78-3.08
Br: 0.2272 0.7977 0.5828  2 Sn 2.89-2.92
Br: 0.7272 0.8846 0.1267  2 Sn 2.78-3.06
Br: 0.2728 0.7579 0.8733  2 Sn 2.78-3.06
Br: 0.7568 0.9101 0.4538  2 Sn 2.78-3.08
Br: 0.2272 0.7851 0.2023  2 Sn 2.89-2.92
Br: 0.7272 0.8733 0.7579  2 Sn 2.78-3.06
Br: 0.7728 0.5828 0.7977  2 Sn 2.89-2.92
Br: 0.2432 0.0899 0.5437  2 Sn 2.78-3.08
Br: 0.2728 0.1267 0.8846  2 Sn 2.78-3.06
Br: 0.7728 0.2023 0.7851  2 Sn 2.89-2.92
Br: 0.7568 0.5462 0.4563  2 Sn 2.78-3.08
Br: 0.7272 0.2421 0.1154  2 Sn 2.78-3.06
Br: 0.7728 0.2149 0.4172  2 Sn 2.89-2.92
Br: 0.2728 0.1154 0.2421  2 Sn 2.78-3.06
Br: 0.2432 0.4538 0.9101  2 Sn 2.78-3.08
Br: 0.2432 0.4563 0.5462  2 Sn 2.78-3.08
Tl: 0.0000 0.0000 0.0000  6 Br 3.28
Tl: 0.4840 0.6667 0.3333  6 Br 3.29
Tl: 0.5160 0.3333 0.6667  6 Br 3.29

---

Entry 6:
LuPuGaPd: optimized geometry, PBE.

VASP energy	-29.0	eV per cell
space-group type	F-43m, No. 216
energy of formation	-11.1	kcal/mol of atoms

Lattice parameters (Å, degrees): 4.9857 4.9857 4.9857 60.00 60.00 60.00
Closest atoms and distances in Å follow each position.
Sites, in units of the cell vectors:
Pd: 0.5000 0.5000 0.5000  4 Pu 3.05, 4 Lu 3.05
Ga: 0.0000 0.0000 0.0000  4 Pu 3.05, 4 Lu 3.05
Pu: 0.7500 0.7500 0.7500  4 Pd 3.05, 4 Ga 3.05
Lu: 0.2500 0.2500 0.2500  4 Pd 3.05, 4 Ga 3.05

---

Entry 7:
PmCO: optimized geometry, PBE.

VASP energy	-49.1	eV per cell
formation energy without anion corrections	-1.8705	eV per atom
offset from the most stable computed form	0.0	meV per atom
space-group type	C2/m, No. 12

Lattice parameters (Å, degrees): 3.9250 3.9253 7.1621 94.47 90.00 120.00
Closest atoms and distances in Å follow each position.
Sites, in units of the cell vectors:
C: 0.4483 0.8967 0.0687  1 C 1.26
C: 0.5517 0.1033 0.9313  1 C 1.26
O: 0.1800 0.3600 0.6223  4 Pm 2.33-2.38
O: 0.8200 0.6400 0.3777  4 Pm 2.33-2.38
Pm: 0.8506 0.7012 0.7084  4 O 2.33-2.38
Pm: 0.1494 0.2988 0.2916  4 O 2.33-2.38

---

Entry 8:
Cs2TaPt: optimized geometry, PBE.

VASP energy	-32.1	eV per cell
offset from the most stable computed form	0.0	meV per atom
space-group type	I-42d, No. 122
energy of formation	20.6	kcal/mol of atoms

Lattice parameters (Å, degrees): 9.6177 9.6177 9.6177 93.92 93.92 149.69
Closest atoms and distances in Å follow each position.
Sites, in units of the cell vectors:
Pt: 0.2500 0.7500 0.5000  2 Ta 2.51
Pt: 0.0000 0.0000 0.0000  2 Ta 2.51
Cs: 0.2091 0.3750 0.3341  2 Pt 3.52
Cs: 0.0409 0.8750 0.6659  2 Pt 3.52
Cs: 0.6250 0.9591 0.8341  2 Pt 3.52
Cs: 0.1250 0.7909 0.1659  2 Pt 3.52
Ta: 0.5000 0.5000 0.0000  2 Pt 2.51
Ta: 0.7500 0.2500 0.5000  2 Pt 2.51